# PBE-GGA CrRu2Cl, relaxed
# * raw formation energy: 0.902 eV/atom
data_CrRu2Cl
_symmetry_space_group_name_H-M 'F -4 3 m'
_symmetry_Int_Tables_number 216
_symmetry_space_group_name_Hall 'F -4 2 3'
_cell_length_a 6.063
_cell_length_b 6.063
_cell_length_c 6.063
_cell_angle_alpha 90.00
_cell_angle_beta 90.00
_cell_angle_gamma 90.00
loop_
_atom_site_label
_atom_site_type_symbol
_atom_site_fract_x
_atom_site_fract_y
_atom_site_fract_z
Cr1 Cr 0.000 0.000 0.000
Ru1 Ru 0.000 0.000 0.500
Ru2 Ru 0.250 0.250 0.250
Cl1 Cl 0.250 0.250 0.750